No. 1
VASP calculation (PBE-GGA) on a relaxed LiDyPb2 crystal.

Formation enthalpy at 0 K = -90 kJ/mol of formula units
Magnetic moment = 0.00 μB/f.u.
Fermi-level density of states = 0.908 states/eV/atom
Final energy = -44.6 eV for the cell shown

Structure (CIF):
```
data_LiDyPb2
_cell_length_a 3.5789
_cell_length_b 3.5789
_cell_length_c 29.4363
_cell_angle_alpha 90.00
_cell_angle_beta 90.00
_cell_angle_gamma 120.00
_symmetry_space_group_name_H-M 'R -3 m'
_symmetry_Int_Tables_number 166
_symmetry_space_group_name_Hall '-R 3 2"'
loop_
_atom_site_label
_atom_site_type_symbol
_atom_site_fract_x
_atom_site_fract_y
_atom_site_fract_z
_atom_site_occupancy
Li1 Li 0.0000 0.0000 0.0000 1
Dy1 Dy 0.0000 0.0000 0.5000 1
Pb1 Pb 0.0000 0.0000 0.2559 1
```

***

No. 2
VASP calculation (PBE-GGA) on a relaxed Li6DyPb6 crystal.

Formation enthalpy at 0 K = -352 kJ/mol of formula units
Magnetic moment = 0.00 μB/f.u.
Fermi-level density of states = 0.388 states/eV/atom
Final energy = -84.0 eV for the cell shown

Structure (CIF):
```
data_Li6DyPb6
_cell_length_a 5.891
_cell_length_b 9.624
_cell_length_c 10.309
_cell_angle_alpha 90.00
_cell_angle_beta 90.00
_cell_angle_gamma 90.00
_symmetry_space_group_name_H-M 'I m m m'
_symmetry_Int_Tables_number 71
_symmetry_space_group_name_Hall '-I 2 2'
loop_
_atom_site_label
_atom_site_type_symbol
_atom_site_fract_x
_atom_site_fract_y
_atom_site_fract_z
_atom_site_occupancy
Li1 Li 0.000 0.248 0.000 1
Li2 Li 0.250 0.250 0.250 1
Dy1 Dy 0.000 0.500 0.500 1
Pb1 Pb 0.000 0.000 0.163 1
Pb2 Pb 0.000 0.160 0.500 1
Pb3 Pb 0.000 0.500 0.166 1
```

***

No. 3
VASP calculation (PBE-GGA) on a relaxed LiDyPb2 crystal.

Formation enthalpy at 0 K = -130 kJ/mol of formula units
Magnetic moment = 0.00 μB/f.u.
Fermi-level density of states = 0.406 states/eV/atom
Final energy = -15.3 eV for the cell shown

Structure (CIF):
```
data_LiDyPb2
_cell_length_a 3.597
_cell_length_b 3.597
_cell_length_c 7.868
_cell_angle_alpha 90.00
_cell_angle_beta 90.00
_cell_angle_gamma 90.00
_symmetry_space_group_name_H-M 'P 4/m m m'
_symmetry_Int_Tables_number 123
_symmetry_space_group_name_Hall '-P 4 2'
loop_
_atom_site_label
_atom_site_type_symbol
_atom_site_fract_x
_atom_site_fract_y
_atom_site_fract_z
_atom_site_occupancy
Li1 Li 0.000 0.000 0.000 1
Dy1 Dy 0.000 0.000 0.500 1
Pb1 Pb 0.500 0.500 0.223 1
```

***

No. 4
VASP calculation (PBE-GGA) on a relaxed Li2Dy5Pb5 crystal.

Formation enthalpy at 0 K = -534 kJ/mol of formula units
Magnetic moment = 0.00 μB/f.u.
Fermi-level density of states = 0.402 states/eV/atom
Final energy = -101.8 eV for the cell shown

Structure (CIF):
```
data_Li2Dy5Pb5
_cell_length_a 16.370
_cell_length_b 4.682
_cell_length_c 10.609
_cell_angle_alpha 90.00
_cell_angle_beta 128.72
_cell_angle_gamma 90.00
_symmetry_space_group_name_H-M 'C 1 2/m 1'
_symmetry_Int_Tables_number 12
_symmetry_space_group_name_Hall '-C 2y'
loop_
_atom_site_label
_atom_site_type_symbol
_atom_site_fract_x
_atom_site_fract_y
_atom_site_fract_z
_atom_site_occupancy
Li1 Li 0.147 0.000 0.260 1
Dy1 Dy 0.000 0.500 0.000 1
Dy2 Dy 0.103 0.500 0.422 1
Dy3 Dy 0.187 0.500 0.829 1
Pb1 Pb 0.000 0.000 0.500 1
Pb2 Pb 0.064 0.000 0.868 1
Pb3 Pb 0.249 0.500 0.314 1
```

***

No. 5
VASP calculation (PBE-GGA) on a relaxed LiDyPb2 crystal.

Formation enthalpy at 0 K = -155 kJ/mol of formula units
Magnetic moment = 0.00 μB/f.u.
Fermi-level density of states = 0.274 states/eV/atom
Final energy = -15.5 eV for the cell shown

Structure (CIF):
```
data_LiDyPb2
_cell_length_a 4.806
_cell_length_b 4.806
_cell_length_c 4.431
_cell_angle_alpha 90.00
_cell_angle_beta 90.00
_cell_angle_gamma 90.00
_symmetry_space_group_name_H-M 'P 4/m m m'
_symmetry_Int_Tables_number 123
_symmetry_space_group_name_Hall '-P 4 2'
loop_
_atom_site_label
_atom_site_type_symbol
_atom_site_fract_x
_atom_site_fract_y
_atom_site_fract_z
_atom_site_occupancy
Li1 Li 0.000 0.000 0.000 1
Dy1 Dy 0.500 0.500 0.000 1
Pb1 Pb 0.000 0.500 0.500 1
```

***

No. 6
VASP calculation (PBE-GGA) on a relaxed Li2DyPb4 crystal.

Formation enthalpy at 0 K = -169 kJ/mol of formula units
Magnetic moment = 0.00 μB/f.u.
Fermi-level density of states = 0.570 states/eV/atom
Final energy = -50.0 eV for the cell shown

Structure (CIF):
```
data_Li2DyPb4
_cell_length_a 7.256
_cell_length_b 7.256
_cell_length_c 7.354
_cell_angle_alpha 90.00
_cell_angle_beta 90.00
_cell_angle_gamma 90.00
_symmetry_space_group_name_H-M 'I 4/m m m'
_symmetry_Int_Tables_number 139
_symmetry_space_group_name_Hall '-I 4 2'
loop_
_atom_site_label
_atom_site_type_symbol
_atom_site_fract_x
_atom_site_fract_y
_atom_site_fract_z
_atom_site_occupancy
Li1 Li 0.000 0.500 0.000 1
Dy1 Dy 0.000 0.000 0.000 1
Pb1 Pb 0.250 0.250 0.250 1
```

***

No. 7
VASP calculation (PBE-GGA) on a relaxed LiDyPb crystal.

Formation enthalpy at 0 K = -62 kJ/mol of formula units
Magnetic moment = 0.00 μB/f.u.
Fermi-level density of states = 0.748 states/eV/atom
Final energy = -21.7 eV for the cell shown

Structure (CIF):
```
data_LiDyPb
_cell_length_a 3.597
_cell_length_b 3.597
_cell_length_c 11.571
_cell_angle_alpha 90.00
_cell_angle_beta 90.00
_cell_angle_gamma 90.00
_symmetry_space_group_name_H-M 'I 4 m m'
_symmetry_Int_Tables_number 107
_symmetry_space_group_name_Hall 'I 4 -2'
loop_
_atom_site_label
_atom_site_type_symbol
_atom_site_fract_x
_atom_site_fract_y
_atom_site_fract_z
_atom_site_occupancy
Li1 Li 0.000 0.000 0.000 1
Dy1 Dy 0.000 0.000 0.310 1
Pb1 Pb 0.000 0.000 0.622 1
```

***

No. 8
VASP calculation (PBE-GGA) on a relaxed LiDyPb2 crystal.

Formation enthalpy at 0 K = -61 kJ/mol of formula units
Magnetic moment = 0.00 μB/f.u.
Fermi-level density of states = 0.522 states/eV/atom
Final energy = -43.7 eV for the cell shown

Structure (CIF):
```
data_LiDyPb2
_cell_length_a 4.4820
_cell_length_b 4.4820
_cell_length_c 19.9807
_cell_angle_alpha 90.00
_cell_angle_beta 90.00
_cell_angle_gamma 120.00
_symmetry_space_group_name_H-M 'R 3 m'
_symmetry_Int_Tables_number 160
_symmetry_space_group_name_Hall 'R 3 -2"'
loop_
_atom_site_label
_atom_site_type_symbol
_atom_site_fract_x
_atom_site_fract_y
_atom_site_fract_z
_atom_site_occupancy
Li1 Li 0.0000 0.0000 0.0000 1
Dy1 Dy 0.0000 0.0000 0.1836 1
Pb1 Pb 0.0000 0.0000 0.6020 1
Pb2 Pb 0.0000 0.0000 0.7506 1
```

***

No. 9
VASP calculation (PBE-GGA) on a relaxed Li3DyPb3 crystal.

Formation enthalpy at 0 K = 167 kJ/mol of formula units
Magnetic moment = 0.00 μB/f.u.
Fermi-level density of states = 0.927 states/eV/atom
Final energy = -39.5 eV for the cell shown

Structure (CIF):
```
data_Li3DyPb3
_cell_length_a 7.248
_cell_length_b 7.248
_cell_length_c 7.248
_cell_angle_alpha 90.00
_cell_angle_beta 90.00
_cell_angle_gamma 90.00
_symmetry_space_group_name_H-M 'P m -3 n'
_symmetry_Int_Tables_number 223
_symmetry_space_group_name_Hall '-P 4n 2 3'
loop_
_atom_site_label
_atom_site_type_symbol
_atom_site_fract_x
_atom_site_fract_y
_atom_site_fract_z
_atom_site_occupancy
Li1 Li 0.000 0.250 0.500 1
Dy1 Dy 0.000 0.000 0.000 1
Pb1 Pb 0.000 0.500 0.250 1
```

***

No. 10
VASP calculation (PBE-GGA) on a relaxed LiDyPdPb crystal.

Formation enthalpy at 0 K = -246 kJ/mol of formula units
Magnetic moment = 0.00 μB/f.u.
Fermi-level density of states = 0.068 states/eV/atom
Final energy = -71.9 eV for the cell shown

Structure (CIF):
```
data_LiDyPdPb
_cell_length_a 6.828
_cell_length_b 6.828
_cell_length_c 6.828
_cell_angle_alpha 90.00
_cell_angle_beta 90.00
_cell_angle_gamma 90.00
_symmetry_space_group_name_H-M 'F -4 3 m'
_symmetry_Int_Tables_number 216
_symmetry_space_group_name_Hall 'F -4 2 3'
loop_
_atom_site_label
_atom_site_type_symbol
_atom_site_fract_x
_atom_site_fract_y
_atom_site_fract_z
_atom_site_occupancy
Li1 Li 0.000 0.000 0.000 1
Dy1 Dy 0.250 0.250 0.250 1
Pd1 Pd 0.000 0.000 0.500 1
Pb1 Pb 0.250 0.250 0.750 1
```

***

No. 11
VASP calculation (PBE-GGA) on a relaxed LiDyPd4Pb2 crystal.

Formation enthalpy at 0 K = -416 kJ/mol of formula units
Magnetic moment = 0.00 μB/f.u.
Fermi-level density of states = 0.536 states/eV/atom
Final energy = -117.0 eV for the cell shown

Structure (CIF):
```
data_LiDyPd4Pb2
_cell_length_a 4.7441
_cell_length_b 4.7441
_cell_length_c 23.3191
_cell_angle_alpha 90.00
_cell_angle_beta 90.00
_cell_angle_gamma 120.00
_symmetry_space_group_name_H-M 'R -3 m'
_symmetry_Int_Tables_number 166
_symmetry_space_group_name_Hall '-R 3 2"'
loop_
_atom_site_label
_atom_site_type_symbol
_atom_site_fract_x
_atom_site_fract_y
_atom_site_fract_z
_atom_site_occupancy
Li1 Li 0.0000 0.0000 0.0000 1
Dy1 Dy 0.0000 0.0000 0.5000 1
Pd1 Pd 0.0000 0.0000 0.1208 1
Pd2 Pd 0.0000 0.0000 0.3753 1
Pb1 Pb 0.0000 0.0000 0.2544 1
```

***

No. 12
VASP calculation (PBE-GGA) on a relaxed LiPmDyPb crystal.

Formation enthalpy at 0 K = -113 kJ/mol of formula units
Magnetic moment = 0.00 μB/f.u.
Fermi-level density of states = 0.815 states/eV/atom
Final energy = -64.6 eV for the cell shown

Structure (CIF):
```
data_LiPmDyPb
_cell_length_a 7.560
_cell_length_b 7.560
_cell_length_c 7.560
_cell_angle_alpha 90.00
_cell_angle_beta 90.00
_cell_angle_gamma 90.00
_symmetry_space_group_name_H-M 'F -4 3 m'
_symmetry_Int_Tables_number 216
_symmetry_space_group_name_Hall 'F -4 2 3'
loop_
_atom_site_label
_atom_site_type_symbol
_atom_site_fract_x
_atom_site_fract_y
_atom_site_fract_z
_atom_site_occupancy
Li1 Li 0.000 0.000 0.000 1
Pm1 Pm 0.250 0.250 0.250 1
Dy1 Dy 0.250 0.250 0.750 1
Pb1 Pb 0.000 0.000 0.500 1
```